Record 1
This record from Alexandria via LeMat-Bulk describes crystalline Ba2InHg at its relaxed geometry. The functional is GGA-PBE.

a = 5.2414 Å, b = 5.2414 Å, c = 21.9528 Å
α = 90.00°, β = 90.00°, γ = 120.00°
Space group R3m (No. 160, hexagonal axes)
One atom of each set of equivalent atoms:
1 Ba 0.0000 0.0000 0.0000 (multiplicity 3)
2 Ba 0.0000 0.0000 0.1816 (multiplicity 3)
3 In 0.0000 0.0000 0.4172 (multiplicity 3)
4 Hg 0.0000 0.0000 0.7646 (multiplicity 3)


Record 2
This record from Alexandria via LeMat-Bulk describes crystalline SrTc3As at its relaxed geometry. The functional is GGA-PBE.

a = 4.7107 Å, b = 4.7107 Å, c = 4.7107 Å
α = 90.00°, β = 90.00°, γ = 90.00°
Space group Pm-3m (No. 221)
One atom of each set of equivalent atoms:
1 Sr 0.0000 0.0000 0.0000 (multiplicity 1)
2 Tc 0.0000 0.5000 0.5000 (multiplicity 3)
3 As 0.5000 0.5000 0.5000 (multiplicity 1)

Excess energy over the best structure of this formula in the dataset in meV/atom: 0


Number 1: energy -2.05 eV/atom, M_tot 0.007 μB per formula unit, DOS at the Fermi energy 10.7 states/eV/cell. Number 2: energy -6.71 eV/atom, M_tot 2.414 μB per formula unit, DOS at the Fermi energy 6.4 states/eV/cell.